No. 1
Compound: SrCdSeO
Source: OQMD
Functional: PBE-GGA
Structure: optimized geometry

Values from the calculation:
Total energy = -0.30597 Ry/atom

Unit cell a=7.1247 b=7.1247 c=7.1630 alpha=90.00 beta=90.00 gamma=148.83
Atoms (fractional coordinates):
Sr: 0.0548 0.9452 0.5000
Sr: 0.9452 0.0548 0.0000
Cd: 0.3201 0.6799 0.6151
Cd: 0.6799 0.3201 0.1151
Se: 0.3250 0.6750 0.2323
Se: 0.6750 0.3250 0.7323
O: 0.0877 0.9123 0.1782
O: 0.9123 0.0877 0.6782


No. 2
Compound: TmCuB
Source: OQMD
Functional: PBE-GGA
Structure: optimized geometry

Values from the calculation:
Total energy = -0.36043 Ry/atom

Unit cell a=4.0705 b=4.0705 c=4.0705 alpha=60.00 beta=60.00 gamma=60.00
Atoms (fractional coordinates):
Tm: 0.0000 0.0000 0.0000
Cu: 0.5000 0.5000 0.5000
B: 0.7500 0.7500 0.7500


No. 3
Compound: GaCuNiMo
Source: OQMD
Functional: PBE-GGA
Structure: optimized geometry

Values from the calculation:
Total energy = -0.41906 Ry/atom

Unit cell a=4.2381 b=4.2381 c=4.2381 alpha=60.00 beta=60.00 gamma=60.00
Atoms (fractional coordinates):
Ga: 0.0000 0.0000 0.0000
Cu: 0.2500 0.2500 0.2500
Ni: 0.5000 0.5000 0.5000
Mo: 0.7500 0.7500 0.7500


No. 4
Compound: Zr2AlGaAg2
Source: OQMD
Functional: PBE-GGA
Structure: optimized geometry

Values from the calculation:
Total energy = -0.36892 Ry/atom

Unit cell a=10.9449 b=4.4680 c=10.9463 alpha=90.00 beta=109.47 gamma=90.00
Atoms (fractional coordinates):
Zr: 0.0000 0.0000 0.0000
Zr: 0.1234 0.5000 0.3783
Zr: 0.2485 0.0000 0.7524
Zr: 0.3743 0.5000 0.1243
Zr: 0.5009 0.0000 0.5030
Zr: 0.6251 0.5000 0.8769
Zr: 0.7490 0.0000 0.2517
Zr: 0.8754 0.5000 0.6275
Al: 0.2495 0.0000 0.2519
Al: 0.3745 0.5000 0.6265
Al: 0.6241 0.5000 0.3766
Al: 0.8750 0.5000 0.1268
Ga: 0.9996 0.0000 0.5016
Ga: 0.1247 0.5000 0.8772
Ga: 0.4998 0.0000 0.0018
Ga: 0.7495 0.0000 0.7520
Ag: 0.1246 0.5000 0.1286
Ag: 0.2513 0.0000 0.5025
Ag: 0.3747 0.5000 0.8742
Ag: 0.4989 0.0000 0.2529
Ag: 0.6244 0.5000 0.6261
Ag: 0.7513 0.0000 0.0031
Ag: 0.8725 0.5000 0.3759
Ag: 0.9991 0.0000 0.7509


No. 5
Compound: LiZnNiOs
Source: OQMD
Functional: PBE-GGA
Structure: optimized geometry

Values from the calculation:
Total energy = -0.35100 Ry/atom

Unit cell a=4.1288 b=4.1288 c=4.1288 alpha=60.00 beta=60.00 gamma=60.00
Atoms (fractional coordinates):
Li: 0.0000 0.0000 0.0000
Zn: 0.2500 0.2500 0.2500
Ni: 0.5000 0.5000 0.5000
Os: 0.7500 0.7500 0.7500


No. 6
Compound: CsRbCuP
Source: OQMD
Functional: PBE-GGA
Structure: optimized geometry

Values from the calculation:
Total energy = -0.22071 Ry/atom

Unit cell a=6.1626 b=6.5447 c=6.5447 alpha=70.98 beta=90.00 gamma=90.00
Atoms (fractional coordinates):
Cs: 0.2500 0.1470 0.8530
Cs: 0.7500 0.8530 0.1470
Rb: 0.2500 0.8088 0.5159
Rb: 0.7500 0.5159 0.8088
Cu: 0.0000 0.3290 0.3290
Cu: 0.5000 0.3290 0.3290
P: 0.2500 0.5513 0.1179
P: 0.7500 0.1179 0.5513


No. 7
Compound: TbNd2Fe2B2N3
Source: OQMD
Functional: PBE-GGA
Structure: optimized geometry

Values from the calculation:
Total energy = -0.58341 Ry/atom

Unit cell a=10.5845 b=10.5845 c=10.5845 alpha=160.67 beta=160.67 gamma=27.47
Atoms (fractional coordinates):
Tb: 0.0000 0.0000 0.0000
Nd: 0.3763 0.3763 0.0000
Nd: 0.6237 0.6237 0.0000
Fe: 0.2500 0.7500 0.5000
Fe: 0.7500 0.2500 0.5000
B: 0.1882 0.1882 0.0000
B: 0.8118 0.8118 0.0000
N: 0.1163 0.1163 0.0000
N: 0.5000 0.5000 0.0000
N: 0.8837 0.8837 0.0000


No. 8
Compound: Ta2GeAu
Source: OQMD
Functional: PBE-GGA
Structure: optimized geometry

Values from the calculation:
Total energy = -0.55077 Ry/atom

Unit cell a=4.6575 b=4.6575 c=4.6575 alpha=60.00 beta=60.00 gamma=60.00
Atoms (fractional coordinates):
Ta: 0.0000 0.0000 0.0000
Ta: 0.2500 0.2500 0.2500
Ge: 0.5000 0.5000 0.5000
Au: 0.7500 0.7500 0.7500